# Re2NCl8

An optimized crystal structure of Re2NCl8 (PBE, Alexandria via LeMat-Bulk).

```
data_Re2NCl8
_chemical_formula_sum 'Re4 N2 Cl16'
_cell_length_a 15.0754
_cell_length_b 8.4369
_cell_length_c 7.4449
_cell_angle_alpha 90.00
_cell_angle_beta 112.89
_cell_angle_gamma 90.00
_symmetry_space_group_name_H-M 'C 1 2/m 1'
_symmetry_Int_Tables_number 12
loop_
_symmetry_equiv_pos_as_xyz
'x,y,z'
'-x,-y,-z'
'-x,y,-z'
'x,-y,z'
'x+1/2,y+1/2,z'
'-x+1/2,-y+1/2,-z'
'-x+1/2,y+1/2,-z'
'x+1/2,-y+1/2,z'
loop_
_atom_site_label
_atom_site_type_symbol
_atom_site_fract_x
_atom_site_fract_y
_atom_site_fract_z
_atom_site_occupancy
Re1 Re 0.1185 0.0000 0.1904 1
N1 N 0.0000 0.0000 0.0000 1
Cl1 Cl 0.1239 0.0000 0.4959 1
Cl2 Cl 0.1288 0.2748 0.2080 1
Cl3 Cl 0.2410 0.0000 0.0907 1
```

Values from the calculation:
ΔE_f (raw)	-48.62	kJ/mol of atoms
crystal system	monoclinic
calculated volume	39.653	Å³ per atom
M_tot	6.1	Bohr magnetons per cell